VASP calculation (PBE+U) on crystalline Mn2AuF at its relaxed geometry.

Cell and atoms, written as POSCAR:
```
Mn2AuF
1.0
0.000 3.248 3.248
3.248 0.000 3.248
3.248 3.248 0.000
Mn Au F
2 1 1
Direct
0.750 0.750 0.750
0.250 0.250 0.250
0.500 0.500 0.500
0.000 0.000 0.000
```

VASP energy: -22.02 eV per cell
Magnetic moment: 2.43 μB/atom
ΔE to the lowest computed polymorph: 198 meV per atom